(1)
Crystalline La6PmSmTm2 at its relaxed geometry. Source: Alexandria via LeMat-Bulk, functional PBE-GGA. Values from VASP.

Quantum ESPRESSO input file:
```
&SYSTEM
  ibrav = 0, nat = 10, ntyp = 4
/
ATOMIC_SPECIES
La 138.91 La.upf
Pm 145.00 Pm.upf
Sm 150.36 Sm.upf
Tm 168.93 Tm.upf
ATOMIC_POSITIONS crystal
La 0.442 0.642 0.284
La 0.196 0.042 0.643
La 0.804 0.399 0.357
La 0.196 0.601 0.643
La 0.804 0.958 0.357
La 0.558 0.358 0.716
Pm 0.000 0.500 0.000
Sm 0.500 0.000 0.000
Tm 0.161 0.092 0.184
Tm 0.839 0.908 0.816
CELL_PARAMETERS angstrom
-1.044 -1.891 -8.659
-6.130 -3.545 1.513
0.344 6.717 -0.201
```

- DFT total energy: -4.61 eV per atom
- ΔE_f: 0.1883 eV per atom
- Space group: C2/m, No. 12
- Calculated density: 6.818 Mg/m³

---

(2)
Crystalline La6PmSm2Tm at its relaxed geometry. Source: Alexandria via LeMat-Bulk, functional PBE-GGA. Values from VASP.

Quantum ESPRESSO input file:
```
&SYSTEM
  ibrav = 0, nat = 20, ntyp = 4
/
ATOMIC_SPECIES
La 138.91 La.upf
Pm 145.00 Pm.upf
Sm 150.36 Sm.upf
Tm 168.93 Tm.upf
ATOMIC_POSITIONS crystal
La 0.092 0.076 0.777
La 0.408 0.223 0.924
La 0.908 0.924 0.223
La 0.592 0.777 0.076
La 0.319 0.029 0.465
La 0.181 0.535 0.971
La 0.681 0.971 0.535
La 0.819 0.465 0.029
La 0.095 0.718 0.432
La 0.405 0.568 0.282
La 0.905 0.282 0.568
La 0.595 0.432 0.718
Pm 0.250 0.932 0.068
Pm 0.750 0.068 0.932
Sm 0.435 0.794 0.704
Sm 0.065 0.296 0.206
Sm 0.565 0.206 0.296
Sm 0.935 0.704 0.794
Tm 0.250 0.430 0.570
Tm 0.750 0.570 0.430
CELL_PARAMETERS angstrom
-1.643 -2.157 8.875
-6.178 -6.171 -2.676
8.495 -3.267 0.746
```

- DFT total energy: -4.71 eV per atom
- ΔE_f: 0.1102 eV per atom
- Space group: C2/c, No. 15
- Calculated density: 6.818 Mg/m³

---

(3)
Crystalline La2PmSmTm at its relaxed geometry. Source: Alexandria via LeMat-Bulk, functional PBE-GGA. Values from VASP.

Quantum ESPRESSO input file:
```
&SYSTEM
  ibrav = 0, nat = 10, ntyp = 4
/
ATOMIC_SPECIES
La 138.91 La.upf
Pm 145.00 Pm.upf
Sm 150.36 Sm.upf
Tm 168.93 Tm.upf
ATOMIC_POSITIONS crystal
La 0.693 0.698 0.750
La 0.693 0.302 0.750
La 0.307 0.698 0.250
La 0.307 0.302 0.250
Pm 0.592 0.000 0.250
Pm 0.408 0.000 0.750
Sm 0.000 0.000 0.000
Sm 0.000 0.000 0.500
Tm 0.150 0.500 0.750
Tm 0.850 0.500 0.250
CELL_PARAMETERS angstrom
-2.761 -1.490 -6.296
-3.532 -6.368 3.055
-5.079 3.488 1.402
```

- DFT total energy: -4.51 eV per atom
- ΔE_f: 0.2470 eV per atom
- Space group: Pmma, No. 51
- Calculated density: 7.022 Mg/m³

---

(4)
Crystalline La2PmSm3Tm6 at its relaxed geometry. Source: Alexandria via LeMat-Bulk, functional PBE-GGA. Values from VASP.

Quantum ESPRESSO input file:
```
&SYSTEM
  ibrav = 0, nat = 12, ntyp = 4
/
ATOMIC_SPECIES
La 138.91 La.upf
Pm 145.00 Pm.upf
Sm 150.36 Sm.upf
Tm 168.93 Tm.upf
ATOMIC_POSITIONS crystal
La 0.334 0.666 0.000
La 0.666 0.334 0.000
Pm 0.000 0.000 0.000
Sm 0.167 0.833 0.500
Sm 0.833 0.167 0.500
Sm 0.500 0.500 0.500
Tm 0.915 0.583 0.747
Tm 0.752 0.752 0.253
Tm 0.085 0.417 0.253
Tm 0.583 0.915 0.747
Tm 0.248 0.248 0.747
Tm 0.417 0.085 0.253
CELL_PARAMETERS angstrom
-4.464 1.530 -4.052
-0.152 -5.525 2.852
-4.676 5.928 8.978
```

- DFT total energy: -4.61 eV per atom
- ΔE_f: 0.0189 eV per atom
- Space group: C2/m, No. 12
- Calculated density: 8.101 Mg/m³

---

(5)
Crystalline La4Pm2Sm2Tm at its relaxed geometry. Source: Alexandria via LeMat-Bulk, functional PBE-GGA. Values from VASP.

Quantum ESPRESSO input file:
```
&SYSTEM
  ibrav = 0, nat = 9, ntyp = 4
/
ATOMIC_SPECIES
La 138.91 La.upf
Pm 145.00 Pm.upf
Sm 150.36 Sm.upf
Tm 168.93 Tm.upf
ATOMIC_POSITIONS crystal
La 0.778 0.555 0.669
La 0.222 0.445 0.331
La 0.554 0.109 0.330
La 0.446 0.891 0.670
Pm 0.888 0.776 0.329
Pm 0.112 0.224 0.671
Sm 0.334 0.668 0.000
Sm 0.666 0.332 0.000
Tm 0.000 0.000 0.000
CELL_PARAMETERS angstrom
-4.082 1.266 2.972
3.641 -6.622 3.262
3.995 6.616 2.669
```

- DFT total energy: -4.77 eV per atom
- ΔE_f: 0.0232 eV per atom
- Space group: C2/m, No. 12
- Calculated density: 6.940 Mg/m³

---

(6)
Crystalline La2Pm6Sm3Tm at its relaxed geometry. Source: Alexandria via LeMat-Bulk, functional PBE-GGA. Values from VASP.

Quantum ESPRESSO input file:
```
&SYSTEM
  ibrav = 0, nat = 12, ntyp = 4
/
ATOMIC_SPECIES
La 138.91 La.upf
Pm 145.00 Pm.upf
Sm 150.36 Sm.upf
Tm 168.93 Tm.upf
ATOMIC_POSITIONS crystal
La 0.333 0.667 0.000
La 0.667 0.333 0.000
Pm 0.916 0.585 0.749
Pm 0.752 0.752 0.252
Pm 0.084 0.415 0.251
Pm 0.585 0.916 0.749
Pm 0.248 0.248 0.748
Pm 0.415 0.084 0.251
Sm 0.166 0.834 0.500
Sm 0.834 0.166 0.500
Sm 0.500 0.500 0.500
Tm 0.000 0.000 0.000
CELL_PARAMETERS angstrom
6.320 0.000 0.004
-3.158 5.474 0.004
-1.068 -1.850 11.928
```

- DFT total energy: -4.73 eV per atom
- ΔE_f: 0.0175 eV per atom
- Space group: C2/m, No. 12
- Calculated density: 7.113 Mg/m³

---

(7)
Crystalline LaPm4SmTm2 at its relaxed geometry. Source: Alexandria via LeMat-Bulk, functional PBE-GGA. Values from VASP.

Quantum ESPRESSO input file:
```
&SYSTEM
  ibrav = 0, nat = 8, ntyp = 4
/
ATOMIC_SPECIES
La 138.91 La.upf
Pm 145.00 Pm.upf
Sm 150.36 Sm.upf
Tm 168.93 Tm.upf
ATOMIC_POSITIONS crystal
La 0.000 0.500 0.500
Pm 0.000 0.746 0.753
Pm 0.000 0.254 0.247
Pm 0.500 0.752 0.248
Pm 0.500 0.248 0.752
Sm 0.500 0.500 0.000
Tm 0.000 0.000 0.000
Tm 0.500 0.000 0.500
CELL_PARAMETERS angstrom
5.132 0.000 0.000
0.000 5.005 1.021
0.000 2.970 11.059
```

- DFT total energy: -4.68 eV per atom
- ΔE_f: 0.0215 eV per atom
- Space group: P2/m, No. 10
- Calculated density: 7.466 Mg/m³

---

(8)
Crystalline LaPm4Sm2Tm2 at its relaxed geometry. Source: Alexandria via LeMat-Bulk, functional PBE-GGA. Values from VASP.

Quantum ESPRESSO input file:
```
&SYSTEM
  ibrav = 0, nat = 9, ntyp = 4
/
ATOMIC_SPECIES
La 138.91 La.upf
Pm 145.00 Pm.upf
Sm 150.36 Sm.upf
Tm 168.93 Tm.upf
ATOMIC_POSITIONS crystal
La 0.000 0.000 0.000
Pm 0.778 0.555 0.670
Pm 0.222 0.445 0.330
Pm 0.556 0.111 0.333
Pm 0.444 0.889 0.667
Sm 0.888 0.777 0.333
Sm 0.112 0.223 0.667
Tm 0.331 0.662 0.001
Tm 0.669 0.338 0.999
CELL_PARAMETERS angstrom
-1.936 -1.750 4.406
-5.092 -1.963 -5.993
5.749 -5.690 0.265
```

- DFT total energy: -4.68 eV per atom
- ΔE_f: 0.0229 eV per atom
- Space group: C2/m, No. 12
- Calculated density: 7.456 Mg/m³

---

(9)
Crystalline La2Pm6SmTm3 at its relaxed geometry. Source: Alexandria via LeMat-Bulk, functional PBE-GGA. Values from VASP.

Quantum ESPRESSO input file:
```
&SYSTEM
  ibrav = 0, nat = 12, ntyp = 4
/
ATOMIC_SPECIES
La 138.91 La.upf
Pm 145.00 Pm.upf
Sm 150.36 Sm.upf
Tm 168.93 Tm.upf
ATOMIC_POSITIONS crystal
La 0.333 0.667 0.000
La 0.667 0.333 0.000
Pm 0.914 0.582 0.743
Pm 0.753 0.753 0.257
Pm 0.086 0.418 0.257
Pm 0.582 0.914 0.743
Pm 0.247 0.247 0.743
Pm 0.418 0.086 0.257
Sm 0.000 0.000 0.000
Tm 0.166 0.834 0.500
Tm 0.834 0.166 0.500
Tm 0.500 0.500 0.500
CELL_PARAMETERS angstrom
-4.511 -0.461 -4.361
4.702 -4.178 0.120
-6.355 -5.325 8.649
```

- DFT total energy: -4.68 eV per atom
- ΔE_f: 0.0230 eV per atom
- Space group: C2/m, No. 12
- Calculated density: 7.414 Mg/m³

---

(10)
Crystalline La2PmSm6Tm3 at its relaxed geometry. Source: Alexandria via LeMat-Bulk, functional PBE-GGA. Values from VASP.

Quantum ESPRESSO input file:
```
&SYSTEM
  ibrav = 0, nat = 12, ntyp = 4
/
ATOMIC_SPECIES
La 138.91 La.upf
Pm 145.00 Pm.upf
Sm 150.36 Sm.upf
Tm 168.93 Tm.upf
ATOMIC_POSITIONS crystal
La 0.334 0.666 0.000
La 0.666 0.334 0.000
Pm 0.000 0.000 0.000
Sm 0.914 0.581 0.743
Sm 0.753 0.753 0.257
Sm 0.086 0.419 0.257
Sm 0.581 0.914 0.743
Sm 0.247 0.247 0.743
Sm 0.419 0.086 0.257
Tm 0.166 0.834 0.500
Tm 0.834 0.166 0.500
Tm 0.500 0.500 0.500
CELL_PARAMETERS angstrom
6.272 -0.002 0.004
-3.136 5.431 0.004
-1.054 -1.824 11.782
```

- DFT total energy: -4.67 eV per atom
- ΔE_f: 0.0241 eV per atom
- Space group: C2/m, No. 12
- Calculated density: 7.579 Mg/m³